(1)
4
Lattice="3.705 0.000 0.000 0.000 3.706 0.000 0.000 0.000 9.875" Properties=species:S:1:pos:R:3 comment="PBE-GGA Sr2LaNi, optimized geometry" total_energy_ev_per_atom=-3.351 ef_ev_per_atom=0.167 magnetic_moment_mub_per_fu=0.0 pbc="T T T"
La 1.852 1.853 2.470
Ni 1.852 1.853 7.407
Sr 0.000 0.000 9.172
Sr 0.000 0.000 5.642

---

(2)
4
Lattice="4.722 0.000 0.000 0.000 4.708 0.000 0.000 0.000 5.811" Properties=species:S:1:pos:R:3 comment="PBE-GGA Sr2LaNi, optimized geometry" total_energy_ev_per_atom=-3.157 ef_ev_per_atom=0.361 magnetic_moment_mub_per_fu=0.0 pbc="T T T"
Sr 2.361 2.354 0.000
Sr 0.000 0.000 0.000
La 2.361 0.000 2.906
Ni 0.000 2.354 2.906

---

(3)
4
Lattice="-4.423 3.879 -2.730 -1.387 -2.000 6.107 0.446 3.251 1.893" Properties=species:S:1:pos:R:3 comment="PBE-GGA Sr2LaNi, optimized geometry" total_energy_ev_per_atom=-3.004 ef_ev_per_atom=0.514 magnetic_moment_mub_per_fu=0.0 pbc="T T T"
Sr -1.989 3.565 -0.419
Sr 0.000 0.000 0.000
La -0.471 0.625 4.000
Ni -2.905 0.939 1.688

---

(4)
5
Lattice="4.728 0.000 0.000 0.000 5.297 0.000 0.000 0.000 4.728" Properties=species:S:1:pos:R:3 comment="PBE-GGA SrLaNiW2, optimized geometry" total_energy_ev_per_atom=-6.583 ef_ev_per_atom=1.076 magnetic_moment_mub_per_fu=0.0 pbc="T T T"
W 2.364 0.000 0.000
W 0.000 0.000 2.364
Sr 0.000 2.649 0.000
La 2.364 2.649 2.364
Ni 0.000 0.000 0.000

---

(5)
5
Lattice="5.579 0.000 0.000 0.000 5.579 0.000 0.000 0.000 5.699" Properties=species:S:1:pos:R:3 comment="PBE-GGA SrLa2YNi, optimized geometry" total_energy_ev_per_atom=-4.797 ef_ev_per_atom=-0.040 magnetic_moment_mub_per_fu=0.0 pbc="T T T"
Y 0.000 0.000 2.849
La 0.000 2.789 0.000
La 2.789 0.000 0.000
Sr 2.789 2.789 2.849
Ni 0.000 0.000 0.000

---

(6)
5
Lattice="5.517 0.000 0.000 0.000 5.517 0.000 0.000 0.000 4.976" Properties=species:S:1:pos:R:3 comment="PBE-GGA SrLa2ZnNi, optimized geometry" total_energy_ev_per_atom=-3.770 ef_ev_per_atom=-0.051 magnetic_moment_mub_per_fu=0.0 pbc="T T T"
La 2.759 0.000 0.000
La 0.000 2.759 0.000
Ni 0.000 0.000 0.000
Sr 2.759 2.759 2.488
Zn 0.000 0.000 2.488

---

(7)
4
Lattice="0.479 -0.669 4.601 -3.309 -2.279 2.387 0.849 -4.285 1.662" Properties=species:S:1:pos:R:3 comment="PBE-GGA LaTaNi2, optimized geometry" total_energy_ev_per_atom=-6.887 ef_ev_per_atom=0.199 magnetic_moment_mub_per_fu=0.0 pbc="T T T"
La 0.000 0.000 0.000
Ni -0.495 -1.808 2.163
Ni -1.486 -5.424 6.488
Ta -0.990 -3.616 4.325

---

(8)
4
Lattice="-1.248 -2.652 -1.374 0.420 -1.630 2.765 -6.290 1.889 2.069" Properties=species:S:1:pos:R:3 comment="PBE-GGA LaTaNi2, optimized geometry" total_energy_ev_per_atom=-7.020 ef_ev_per_atom=0.065 magnetic_moment_mub_per_fu=0.0 pbc="T T T"
Ni -0.389 0.117 0.128
Ni -1.958 -1.678 1.203
La -5.293 -0.676 2.300
Ta -2.624 0.788 0.863